A plane-wave DFT calculation with PBE-GGA was carried out for a relaxed structure of Ta2OsW.

POSCAR file:
```
Ta2OsW
1.0
0.000 3.209 3.209
3.209 0.000 3.209
3.209 3.209 0.000
Ta Os W
2 1 1
direct
0.250 0.250 0.250
0.750 0.750 0.750
0.000 0.000 0.000
0.500 0.500 0.500
```

* SG: No. 225
* ΔH_f (0 K): -1.2 eV per formula unit
* M_tot: 0.00 μB per cell
* electronic total energy: -12.272 eV per atom

***

A plane-wave DFT calculation with PBE-GGA was carried out for a relaxed structure of CoTeAs2.

POSCAR file:
```
CoTeAs2
1.0
0.000 3.307 3.307
3.307 0.000 3.307
3.307 3.307 0.000
Co Te As
1 1 2
direct
0.000 0.000 0.000
0.750 0.750 0.750
0.250 0.250 0.250
0.500 0.500 0.500
```

* SG: No. 216
* M_tot: 0.97 μB per cell
* electronic total energy: -4.311 eV per atom

***

A plane-wave DFT calculation with PBE-GGA was carried out for a relaxed structure of TmNb.

POSCAR file:
```
TmNb
1.0
3.559 0.000 0.000
0.000 3.559 0.000
0.000 0.000 3.559
Tm Nb
1 1
direct
0.000 0.000 0.000
0.500 0.500 0.500
```

* SG: No. 221
* ΔH_f (0 K): 1.0 eV per formula unit
* M_tot: 0.08 μB per cell
* electronic total energy: -6.796 eV per atom

***

A plane-wave DFT calculation with PBE-GGA was carried out for a relaxed structure of Sm4C2I4Cl.

POSCAR file:
```
Sm4C2I4Cl
1.0
10.019 -1.971 0.000
10.019 1.971 0.000
-1.793 0.000 8.209
Sm C I Cl
4 2 4 1
direct
0.000 0.000 0.200
0.000 0.000 0.800
0.350 0.350 0.921
0.650 0.650 0.079
0.464 0.464 0.982
0.536 0.536 0.018
0.161 0.161 0.365
0.168 0.168 0.805
0.832 0.832 0.195
0.839 0.839 0.635
0.500 0.500 0.500
```

* SG: No. 12
* M_tot: 0.01 μB per cell
* electronic total energy: -5.266 eV per atom

***

A plane-wave DFT calculation with PBE-GGA was carried out for a relaxed structure of BaYHf.

POSCAR file:
```
BaYHf
1.0
0.000 3.749 3.749
3.749 0.000 3.749
3.749 3.749 0.000
Ba Y Hf
1 1 1
direct
0.000 0.000 0.000
0.250 0.250 0.250
0.750 0.750 0.750
```

* SG: No. 216
* M_tot: 0.96 μB per cell
* electronic total energy: -4.699 eV per atom

***

A plane-wave DFT calculation with PBE-GGA was carried out for a relaxed structure of ErCo2Sb2.

POSCAR file:
```
ErCo2Sb2
1.0
-2.117 2.117 5.360
2.117 -2.117 5.360
2.117 2.117 -5.360
Er Co Sb
1 2 2
direct
0.000 0.000 0.000
0.250 0.750 0.500
0.750 0.250 0.500
0.368 0.368 0.000
0.632 0.632 0.000
```

* SG: No. 139
* M_tot: 1.48 μB per cell
* electronic total energy: -5.743 eV per atom

***

A plane-wave DFT calculation with PBE-GGA was carried out for a relaxed structure of KYHgSe3.

POSCAR file:
```
KYHgSe3
1.0
8.645 0.000 0.000
0.000 4.259 0.000
-3.104 0.000 9.973
K Y Hg Se
2 2 2 6
direct
0.237 0.250 0.263
0.763 0.750 0.737
0.322 0.750 0.866
0.678 0.250 0.134
0.089 0.250 0.615
0.911 0.750 0.385
0.088 0.250 0.866
0.249 0.750 0.553
0.458 0.750 0.146
0.542 0.250 0.854
0.751 0.250 0.447
0.912 0.750 0.134
```

* SG: No. 11
* M_tot: 0.00 μB per cell
* electronic total energy: -4.249 eV per atom

***

A plane-wave DFT calculation with PBE-GGA was carried out for a relaxed structure of CoSiPb.

POSCAR file:
```
CoSiPb
1.0
0.000 2.994 2.994
2.994 0.000 2.994
2.994 2.994 0.000
Co Si Pb
1 1 1
direct
0.000 0.000 0.000
0.250 0.250 0.250
0.750 0.750 0.750
```

* SG: No. 216
* M_tot: 0.00 μB per cell
* electronic total energy: -5.148 eV per atom

***

A plane-wave DFT calculation with PBE-GGA was carried out for a relaxed structure of CsAsIrO.

POSCAR file:
```
CsAsIrO
1.0
4.408 0.000 0.000
0.000 4.408 0.000
0.000 0.000 8.537
Cs As Ir O
2 2 2 2
direct
0.250 0.750 0.000
0.750 0.250 0.000
0.250 0.250 0.314
0.750 0.750 0.686
0.250 0.250 0.588
0.750 0.750 0.412
0.250 0.750 0.500
0.750 0.250 0.500
```

* SG: No. 129
* M_tot: 0.01 μB per cell
* electronic total energy: -4.199 eV per atom

***

A plane-wave DFT calculation with PBE-GGA was carried out for a relaxed structure of TbInPO.

POSCAR file:
```
TbInPO
1.0
4.348 0.000 0.000
0.000 4.348 0.000
0.000 0.000 8.244
Tb In P O
2 2 2 2
direct
0.250 0.250 0.101
0.750 0.750 0.899
0.250 0.750 0.500
0.750 0.250 0.500
0.250 0.250 0.692
0.750 0.750 0.308
0.250 0.750 0.000
0.750 0.250 0.000
```

* SG: No. 129
* M_tot: 0.03 μB per cell
* electronic total energy: -5.862 eV per atom

***

A plane-wave DFT calculation with PBE-GGA was carried out for a relaxed structure of Li4Zn2CuNi.

POSCAR file:
```
Li4Zn2CuNi
1.0
4.180 0.000 0.000
0.000 4.180 0.000
0.000 0.000 5.932
Li Zn Cu Ni
4 2 1 1
direct
0.000 0.000 0.000
0.000 0.500 0.247
0.500 0.000 0.753
0.500 0.500 0.500
0.000 0.500 0.761
0.500 0.000 0.239
0.000 0.000 0.500
0.500 0.500 0.000
```

* SG: No. 115
* M_tot: 0.00 μB per cell
* electronic total energy: -2.573 eV per atom

***

A plane-wave DFT calculation with PBE-GGA was carried out for a relaxed structure of K2GdF5.

POSCAR file:
```
K2GdF5
1.0
10.422 0.000 0.000
0.000 7.227 0.000
0.000 0.000 6.404
K Gd F
8 4 20
direct
0.171 0.004 0.039
0.171 0.496 0.039
0.329 0.504 0.539
0.329 0.996 0.539
0.671 0.004 0.461
0.671 0.496 0.461
0.829 0.504 0.961
0.829 0.996 0.961
0.007 0.250 0.564
0.493 0.750 0.064
0.507 0.250 0.936
0.993 0.750 0.436
0.010 0.250 0.911
0.079 0.537 0.655
0.079 0.963 0.655
0.175 0.250 0.362
0.200 0.750 0.332
0.300 0.250 0.832
0.325 0.750 0.862
0.421 0.037 0.155
0.421 0.463 0.155
0.490 0.750 0.411
0.510 0.250 0.589
0.579 0.537 0.845
0.579 0.963 0.845
0.675 0.250 0.138
0.700 0.750 0.168
0.800 0.250 0.668
0.825 0.750 0.638
0.921 0.037 0.345
0.921 0.463 0.345
0.990 0.750 0.089
```

* SG: No. 62
* M_tot: 0.01 μB per cell
* electronic total energy: -5.491 eV per atom

***

A plane-wave DFT calculation with PBE-GGA was carried out for a relaxed structure of YZr2Pd.

POSCAR file:
```
YZr2Pd
1.0
0.000 3.533 3.533
3.533 0.000 3.533
3.533 3.533 0.000
Y Zr Pd
1 2 1
direct
0.000 0.000 0.000
0.250 0.250 0.250
0.500 0.500 0.500
0.750 0.750 0.750
```

* SG: No. 216
* ΔH_f (0 K): -0.3 eV per formula unit
* M_tot: 2.33 μB per cell
* electronic total energy: -7.263 eV per atom

***

A plane-wave DFT calculation with PBE-GGA was carried out for a relaxed structure of BeNbCo2.

POSCAR file:
```
BeNbCo2
1.0
0.000 2.858 2.858
2.858 0.000 2.858
2.858 2.858 0.000
Be Nb Co
1 1 2
direct
0.000 0.000 0.000
0.750 0.750 0.750
0.250 0.250 0.250
0.500 0.500 0.500
```

* SG: No. 216
* M_tot: 2.70 μB per cell
* electronic total energy: -6.955 eV per atom

***

A plane-wave DFT calculation with PBE-GGA was carried out for a relaxed structure of La2AgSn2Au.

POSCAR file:
```
La2AgSn2Au
1.0
4.834 0.000 0.000
-2.417 4.186 0.000
0.000 0.000 7.847
La Ag Sn Au
2 1 2 1
direct
0.000 0.000 0.000
0.000 0.000 0.496
0.667 0.333 0.798
0.333 0.667 0.719
0.667 0.333 0.217
0.333 0.667 0.302
```

* SG: No. 156
* M_tot: 0.00 μB per cell
* electronic total energy: -4.760 eV per atom

***

A plane-wave DFT calculation with PBE-GGA was carried out for a relaxed structure of TbDy2Tl3AgIr2.

POSCAR file:
```
TbDy2Tl3AgIr2
1.0
3.805 0.000 0.000
0.000 6.794 3.918
0.000 -6.794 3.918
Tb Dy Tl Ag Ir
1 2 3 1 2
direct
0.000 0.000 0.000
0.000 0.174 0.587
0.000 0.587 0.174
0.500 0.317 0.317
0.500 0.587 0.857
0.500 0.857 0.587
0.000 0.587 0.587
0.500 0.254 0.920
0.500 0.920 0.254
```

* SG: No. 38
* M_tot: 0.02 μB per cell
* electronic total energy: -5.042 eV per atom

***

A plane-wave DFT calculation with PBE-GGA was carried out for a relaxed structure of ZrTaFeSn.

POSCAR file:
```
ZrTaFeSn
1.0
0.000 3.292 3.292
3.292 0.000 3.292
3.292 3.292 0.000
Zr Ta Fe Sn
1 1 1 1
direct
0.000 0.000 0.000
0.250 0.250 0.250
0.750 0.750 0.750
0.500 0.500 0.500
```

* SG: No. 216
* M_tot: 2.98 μB per cell
* electronic total energy: -7.968 eV per atom

***

A plane-wave DFT calculation with PBE-GGA was carried out for a relaxed structure of PaNb2Si2.

POSCAR file:
```
PaNb2Si2
1.0
-2.013 2.013 5.784
2.013 -2.013 5.784
2.013 2.013 -5.784
Pa Nb Si
1 2 2
direct
0.000 0.000 0.000
0.250 0.750 0.500
0.750 0.250 0.500
0.399 0.399 0.000
0.601 0.601 0.000
```

* SG: No. 139
* M_tot: 0.01 μB per cell
* electronic total energy: -8.658 eV per atom

***

A plane-wave DFT calculation with PBE-GGA was carried out for a relaxed structure of AsPt10.

POSCAR file:
```
AsPt10
1.0
4.346 -1.920 0.000
4.346 1.920 0.000
-0.597 0.000 30.899
As Pt
2 20
direct
0.156 0.156 0.306
0.844 0.844 0.694
0.049 0.049 0.105
0.051 0.051 0.804
0.150 0.150 0.015
0.151 0.151 0.710
0.250 0.250 0.225
0.250 0.250 0.925
0.348 0.348 0.135
0.353 0.353 0.835
0.450 0.450 0.045
0.453 0.453 0.741
0.547 0.547 0.259
0.550 0.550 0.955
0.647 0.647 0.165
0.652 0.652 0.865
0.750 0.750 0.075
0.750 0.750 0.775
0.849 0.849 0.290
0.850 0.850 0.985
0.949 0.949 0.196
0.951 0.951 0.895
```

* SG: No. 12
* M_tot: 0.01 μB per cell
* electronic total energy: -5.931 eV per atom

***

A plane-wave DFT calculation with PBE-GGA was carried out for a relaxed structure of Ho2Ga2O5.

POSCAR file:
```
Ho2Ga2O5
1.0
3.878 0.000 0.000
0.000 3.878 0.000
0.000 0.000 6.765
Ho Ga O
2 2 5
direct
0.000 0.000 0.000
0.000 0.000 0.500
0.500 0.500 0.204
0.500 0.500 0.796
0.000 0.500 0.236
0.000 0.500 0.764
0.500 0.000 0.236
0.500 0.000 0.764
0.500 0.500 0.500
```

* SG: No. 123
* M_tot: 0.00 μB per cell
* electronic total energy: -6.686 eV per atom